Entry 1:
Density functional theory data (GGA-PBE) for crystalline Cs2RbAlI6 at its relaxed geometry.

Summary:
Formation energy from raw total energies in eV per formula unit: -11.30
ΔE to the lowest computed polymorph in meV per atom: 6
Theoretical density in Mg/m³: 3.828
V in Å³/atom: 49.4
Crystal system: cubic

Cell: 12.5519 12.5519 12.5519 Å, 90.00 90.00 90.00°
Space group Fm-3m (No. 225)
Asymmetric unit:
Cs: 0.2500 0.2500 0.2500 [8 per cell]
Rb: 0.0000 0.0000 0.0000 [4 per cell]
Al: 0.0000 0.0000 0.5000 [4 per cell]
I: 0.0000 0.0000 0.2784 [24 per cell]



Entry 2:
Density functional theory data (GGA-PBE) for crystalline Zn2CuNiPt5 at its relaxed geometry.

Summary:
Theoretical density in Mg/m³: 14.707
V in Å³/atom: 15.4
Crystal system: tetragonal
ΔE_f in eV/atom: 0.083

Cell: 7.0718 7.0718 11.0942 Å, 90.00 90.00 90.00°
Space group I4/mcm (No. 140)
Asymmetric unit:
Zn: 0.1115 0.3885 0.0000 [8 per cell]
Cu: 0.0000 0.0000 0.2500 [4 per cell]
Ni: 0.0000 0.5000 0.2500 [4 per cell]
Pt: 0.0000 0.0000 0.0000 [4 per cell]
Pt: 0.2001 0.2999 0.3654 [16 per cell]



Entry 3:
Density functional theory data (GGA-PBE) for crystalline InTcOs2 at its relaxed geometry.

Summary:
Theoretical density in Mg/m³: 15.641
V in Å³/atom: 15.7
Crystal system: orthorhombic
ΔE_f in eV/atom: 0.570

Cell: 3.0356 4.5828 9.0554 Å, 90.00 90.00 90.00°
Space group Imm2 (No. 44)
Asymmetric unit:
In: 0.0000 0.0000 0.0000 [2 per cell]
Tc: 0.0000 0.5000 0.2484 [2 per cell]
Os: 0.0000 0.0000 0.5008 [2 per cell]
Os: 0.0000 0.5000 0.7503 [2 per cell]



Entry 4:
Density functional theory data (GGA-PBE) for crystalline Mn2GaHRh at its relaxed geometry.

Summary:
ΔE to the lowest computed polymorph in meV per atom: 110
Theoretical density in Mg/m³: 8.445
V in Å³/atom: 11.1
Crystal system: tetragonal

Cell: 3.6633 3.6633 4.1540 Å, 90.00 90.00 90.00°
Space group P4/mmm (No. 123)
Asymmetric unit:
Mn: 0.0000 0.5000 0.0000 [2 per cell]
Ga: 0.0000 0.0000 0.5000 [1 per cell]
H: 0.0000 0.0000 0.0000 [1 per cell]
Rh: 0.5000 0.5000 0.5000 [1 per cell]



What is the V in the second record? 15.4 Å³/atom



Repeat the second record exactly.
Density functional theory data (GGA-PBE) for crystalline Zn2CuNiPt5 at its relaxed geometry.

Summary:
Theoretical density in Mg/m³: 14.707
V in Å³/atom: 15.4
Crystal system: tetragonal
ΔE_f in eV/atom: 0.083

Cell: 7.0718 7.0718 11.0942 Å, 90.00 90.00 90.00°
Space group I4/mcm (No. 140)
Asymmetric unit:
Zn: 0.1115 0.3885 0.0000 [8 per cell]
Cu: 0.0000 0.0000 0.2500 [4 per cell]
Ni: 0.0000 0.5000 0.2500 [4 per cell]
Pt: 0.0000 0.0000 0.0000 [4 per cell]
Pt: 0.2001 0.2999 0.3654 [16 per cell]



Which of these has the highest theoretical density? InTcOs2